# 1
! NaHgMo2Pd | Alexandria via LeMat-Bulk | GGA-PBE | optimized geometry; values from VASP
! - E_form: 2.258 eV/atom
! - Symmetry: P4/mmm (123)
! - Crystal system: tetragonal
&SYSTEM
  ibrav = 0, nat = 5, ntyp = 4
/
ATOMIC_SPECIES
Na 22.99 Na.upf
Hg 200.59 Hg.upf
Mo 95.94 Mo.upf
Pd 106.42 Pd.upf
CELL_PARAMETERS angstrom
4.572 0.000 0.000
0.000 4.572 0.000
0.000 0.000 4.733
ATOMIC_POSITIONS crystal
Na 0.000 0.000 0.000
Hg 0.000 0.000 0.500
Mo 0.000 0.500 0.000
Mo 0.500 0.000 0.000
Pd 0.500 0.500 0.500


# 2
! NaHgMo2Pt | Alexandria via LeMat-Bulk | GGA-PBE | optimized geometry; values from VASP
! - E_form: 1.270 eV/atom
! - Symmetry: P4/mmm (123)
! - Crystal system: tetragonal
&SYSTEM
  ibrav = 0, nat = 5, ntyp = 4
/
ATOMIC_SPECIES
Na 22.99 Na.upf
Hg 200.59 Hg.upf
Mo 95.94 Mo.upf
Pt 195.08 Pt.upf
CELL_PARAMETERS angstrom
4.946 0.000 0.000
0.000 4.946 0.000
0.000 0.000 5.287
ATOMIC_POSITIONS crystal
Na 0.000 0.000 0.000
Hg 0.500 0.500 0.000
Mo 0.000 0.500 0.500
Mo 0.500 0.000 0.500
Pt 0.500 0.500 0.500


# 3
! NaHg2MoS | Alexandria via LeMat-Bulk | GGA-PBE | optimized geometry; values from VASP
! - Formation energy from raw total energies: 1.300 eV/atom
! - Symmetry: P4/mmm (123)
! - Crystal system: tetragonal
&SYSTEM
  ibrav = 0, nat = 5, ntyp = 4
/
ATOMIC_SPECIES
Na 22.99 Na.upf
Hg 200.59 Hg.upf
Mo 95.94 Mo.upf
S 32.06 S.upf
CELL_PARAMETERS angstrom
5.114 0.000 0.000
0.000 5.114 0.000
0.000 0.000 5.896
ATOMIC_POSITIONS crystal
Na 0.000 0.000 0.000
Hg 0.000 0.500 0.000
Hg 0.500 0.000 0.000
Mo 0.000 0.000 0.500
S 0.500 0.500 0.500


# 4
! Na2SnHgMo | Alexandria via LeMat-Bulk | GGA-PBE | optimized geometry; values from VASP
! - E_form: 0.889 eV/atom
! - Symmetry: P4/mmm (123)
! - Crystal system: tetragonal
&SYSTEM
  ibrav = 0, nat = 5, ntyp = 4
/
ATOMIC_SPECIES
Na 22.99 Na.upf
Sn 118.71 Sn.upf
Hg 200.59 Hg.upf
Mo 95.94 Mo.upf
CELL_PARAMETERS angstrom
5.239 0.000 0.000
0.000 5.239 0.000
0.000 0.000 5.394
ATOMIC_POSITIONS crystal
Na 0.000 0.500 0.000
Na 0.500 0.000 0.000
Sn 0.000 0.000 0.500
Hg 0.500 0.500 0.000
Mo 0.500 0.500 0.500


| no. | total magnetization (μB/f.u.) |
| --- | --- |
| 1 | 0.00 |
| 2 | 4.18 |
| 3 | 4.62 |
| 4 | 2.92 |